Density functional theory data (PBE) for a relaxed Na2AuS2 crystal.

## Properties
Formation energy (no corrections) ... -0.592 eV/atom
Mass density ... 5.07 g/cm³
Space group ... P4/mbm, No. 127
Crystal system ... tetragonal
E ... -3.4261 eV per atom
N(E_F) ... 0.101 states/eV per atom

abc: 6.9555 6.9555 4.1617
angles: 90.00 90.00 90.00
With the nearest neighbours (Å) after each atom.
Element x y z (fractional)
Na  0.1439  0.3561  0.0000  6 S 2.75-3.04, 1 Na 2.83
Na  0.3561  0.8561  0.0000  6 S 2.75-3.04, 1 Na 2.83
Na  0.6439  0.1439  0.0000  6 S 2.75-3.04, 1 Na 2.83
Na  0.8561  0.6439  0.0000  6 S 2.75-3.04, 1 Na 2.83
Au  0.0000  0.0000  0.5000  4 S 2.57
Au  0.5000  0.5000  0.5000  4 S 2.57
S  0.1726  0.6726  0.5000  2 Au 2.57, 2 Na 2.75
S  0.3274  0.1726  0.5000  2 Au 2.57, 2 Na 2.75
S  0.6726  0.8274  0.5000  2 Au 2.57, 2 Na 2.75
S  0.8274  0.3274  0.5000  2 Au 2.57, 2 Na 2.75